Compound: SrCd3In
Source: the Alexandria database
Functional: PBE
Structure: relaxed

* excess energy over the best structure of this formula in the dataset: 0.0000 eV/atom
* total magnetization: 0.00 μB/f.u.
* uncorrected energy: -0.0624 Ha/atom

abc: 4.7277 4.7277 12.4602
angles: 90.00 90.00 90.00
Closest atoms and distances in Å follow each position.
Fractional coordinates of all 10 atoms:
Sr: 0.0000 0.0000 0.0000  12 Cd 3.62-3.93, 4 In 3.63
Sr: 0.5000 0.5000 0.5000  12 Cd 3.62-3.93, 4 In 3.63
Cd: 0.0000 0.0000 0.3876  1 In 2.81, 4 Cd 2.91
Cd: 0.0000 0.5000 0.2517  2 Cd 2.91, 2 In 2.92
Cd: 0.0000 0.5000 0.7517  2 Cd 2.91, 2 In 2.92
Cd: 0.5000 0.0000 0.2517  2 Cd 2.91, 2 In 2.92
Cd: 0.5000 0.0000 0.7517  2 Cd 2.91, 2 In 2.92
Cd: 0.5000 0.5000 0.8876  1 In 2.81, 4 Cd 2.91
In: 0.0000 0.0000 0.6135  5 Cd 2.81-2.92
In: 0.5000 0.5000 0.1135  5 Cd 2.81-2.92